[1]
# Li2Hf2Ga2PdPt

A geometry-optimized Li2Hf2Ga2PdPt structure (PBE-GGA, OQMD via LeMat-Bulk).

POSCAR file:
```
Li2Hf2Ga2PdPt
1.0
4.452 0.000 0.000
0.000 4.452 0.000
0.000 0.000 6.297
Li Hf Ga Pd Pt
2 2 2 1 1
Direct
0.000 0.000 0.000
0.500 0.500 0.500
0.000 0.500 0.250
0.500 0.000 0.750
0.000 0.500 0.749
0.500 0.000 0.251
0.000 0.000 0.500
0.500 0.500 0.000
```

As for the size of the total moment: 0.00 μB per formula unit. The value obtained for the total energy is -0.2145 hartree per atom. As for the crystal system: tetragonal.

---

[2]
# Li2HfZnGa2Pd2

A geometry-optimized Li2HfZnGa2Pd2 structure (PBE-GGA, OQMD via LeMat-Bulk).

POSCAR file:
```
Li2HfZnGa2Pd2
1.0
4.391 0.000 0.000
0.000 4.391 0.000
0.000 0.000 6.306
Li Hf Zn Ga Pd
2 1 1 2 2
Direct
0.000 0.500 0.213
0.500 0.000 0.787
0.000 0.000 0.500
0.500 0.500 0.000
0.000 0.000 0.000
0.500 0.500 0.500
0.000 0.500 0.748
0.500 0.000 0.252
```

As for the size of the total moment: 0.01 μB per formula unit. The value obtained for the total energy is -0.1635 hartree per atom. As for the crystal system: tetragonal.

---

[3]
# Li2HfZrGa2Pd2

A geometry-optimized Li2HfZrGa2Pd2 structure (PBE-GGA, OQMD via LeMat-Bulk).

POSCAR file:
```
Li2HfZrGa2Pd2
1.0
4.469 0.000 0.000
0.000 4.469 0.000
0.000 0.000 6.320
Li Hf Zr Ga Pd
2 1 1 2 2
Direct
0.000 0.500 0.250
0.500 0.000 0.750
0.000 0.000 0.500
0.500 0.500 0.000
0.000 0.000 0.000
0.500 0.500 0.500
0.000 0.500 0.749
0.500 0.000 0.251
```

As for the size of the total moment: 0.00 μB per formula unit. The value obtained for the total energy is -0.2004 hartree per atom. As for the crystal system: tetragonal.

---

[4]
# LiHfGaPt

A geometry-optimized LiHfGaPt structure (PBE-GGA, OQMD via LeMat-Bulk).

POSCAR file:
```
LiHfGaPt
1.0
6.300 0.000 0.000
0.000 6.300 0.000
0.000 0.000 6.300
Li Hf Ga Pt
4 4 4 4
Direct
0.000 0.000 0.000
0.000 0.500 0.500
0.500 0.000 0.500
0.500 0.500 0.000
0.250 0.250 0.750
0.250 0.750 0.250
0.750 0.250 0.250
0.750 0.750 0.750
0.250 0.250 0.250
0.250 0.750 0.750
0.750 0.250 0.750
0.750 0.750 0.250
0.000 0.000 0.500
0.000 0.500 0.000
0.500 0.000 0.000
0.500 0.500 0.500
```

As for the size of the total moment: 0.00 μB per formula unit. The energy above the lowest structure with this stoichiometry is 0.00 eV/f.u. The value obtained for the total energy is -0.2228 hartree per atom. As for the crystal system: cubic.

---

[5]
# LiHfGaPt

A geometry-optimized LiHfGaPt structure (PBE-GGA, OQMD via LeMat-Bulk).

POSCAR file:
```
LiHfGaPt
1.0
6.300 0.000 0.000
0.000 6.300 0.000
0.000 0.000 6.300
Li Hf Ga Pt
4 4 4 4
Direct
0.000 0.000 0.000
0.000 0.500 0.500
0.500 0.000 0.500
0.500 0.500 0.000
0.250 0.250 0.250
0.250 0.750 0.750
0.750 0.250 0.750
0.750 0.750 0.250
0.250 0.250 0.750
0.250 0.750 0.250
0.750 0.250 0.250
0.750 0.750 0.750
0.000 0.000 0.500
0.000 0.500 0.000
0.500 0.000 0.000
0.500 0.500 0.500
```

As for the size of the total moment: 0.00 μB per formula unit. The energy above the lowest structure with this stoichiometry is 0.00 eV/f.u. The value obtained for the total energy is -0.2228 hartree per atom. As for the crystal system: cubic.

---

[6]
# LiHfGaPt

A geometry-optimized LiHfGaPt structure (PBE-GGA, OQMD via LeMat-Bulk).

POSCAR file:
```
LiHfGaPt
1.0
6.395 0.000 0.000
0.000 6.395 0.000
0.000 0.000 6.395
Li Hf Ga Pt
4 4 4 4
Direct
0.000 0.000 0.000
0.000 0.500 0.500
0.500 0.000 0.500
0.500 0.500 0.000
0.000 0.000 0.500
0.000 0.500 0.000
0.500 0.000 0.000
0.500 0.500 0.500
0.250 0.250 0.750
0.250 0.750 0.250
0.750 0.250 0.250
0.750 0.750 0.750
0.250 0.250 0.250
0.250 0.750 0.750
0.750 0.250 0.750
0.750 0.750 0.250
```

As for the size of the total moment: 0.00 μB per formula unit. The energy above the lowest structure with this stoichiometry is 0.64 eV/f.u. The value obtained for the total energy is -0.2169 hartree per atom. As for the crystal system: cubic.

---

[7]
# LiHfGaPt

A geometry-optimized LiHfGaPt structure (PBE-GGA, OQMD via LeMat-Bulk).

POSCAR file:
```
LiHfGaPt
1.0
6.266 0.000 0.000
0.000 6.266 0.000
0.000 0.000 6.266
Li Hf Ga Pt
4 4 4 4
Direct
0.000 0.000 0.000
0.000 0.500 0.500
0.500 0.000 0.500
0.500 0.500 0.000
0.250 0.250 0.750
0.250 0.750 0.250
0.750 0.250 0.250
0.750 0.750 0.750
0.000 0.000 0.500
0.000 0.500 0.000
0.500 0.000 0.000
0.500 0.500 0.500
0.250 0.250 0.250
0.250 0.750 0.750
0.750 0.250 0.750
0.750 0.750 0.250
```

As for the size of the total moment: 0.00 μB per formula unit. The energy above the lowest structure with this stoichiometry is 1.20 eV/f.u. The value obtained for the total energy is -0.2117 hartree per atom. As for the crystal system: cubic.

---

[8]
# Li2HfScGa2Pt2

A geometry-optimized Li2HfScGa2Pt2 structure (PBE-GGA, OQMD via LeMat-Bulk).

POSCAR file:
```
Li2HfScGa2Pt2
1.0
4.470 0.000 0.000
0.000 4.470 0.000
0.000 0.000 6.310
Li Hf Sc Ga Pt
2 1 1 2 2
Direct
0.000 0.500 0.246
0.500 0.000 0.754
0.500 0.500 0.500
0.000 0.000 0.000
0.000 0.000 0.500
0.500 0.500 0.000
0.000 0.500 0.744
0.500 0.000 0.256
```

As for the size of the total moment: 0.00 μB per formula unit. The value obtained for the total energy is -0.2062 hartree per atom. As for the crystal system: tetragonal.

---

[9]
# Li2HfZrGa2Pt2

A geometry-optimized Li2HfZrGa2Pt2 structure (PBE-GGA, OQMD via LeMat-Bulk).

POSCAR file:
```
Li2HfZrGa2Pt2
1.0
4.473 0.000 0.000
0.000 4.473 0.000
0.000 0.000 6.327
Li Hf Zr Ga Pt
2 1 1 2 2
Direct
0.000 0.500 0.250
0.500 0.000 0.750
0.000 0.000 0.000
0.500 0.500 0.500
0.000 0.000 0.500
0.500 0.500 0.000
0.000 0.500 0.753
0.500 0.000 0.247
```

As for the size of the total moment: 0.01 μB per formula unit. The value obtained for the total energy is -0.2166 hartree per atom. As for the crystal system: tetragonal.

---

[10]
# Lu2HfGa

A geometry-optimized Lu2HfGa structure (PBE-GGA, OQMD via LeMat-Bulk).

POSCAR file:
```
Lu2HfGa
1.0
7.112 0.000 0.000
0.000 7.112 0.000
0.000 0.000 7.112
Lu Hf Ga
8 4 4
Direct
0.000 0.000 0.000
0.000 0.500 0.500
0.250 0.250 0.250
0.250 0.750 0.750
0.500 0.000 0.500
0.500 0.500 0.000
0.750 0.250 0.750
0.750 0.750 0.250
0.250 0.250 0.750
0.250 0.750 0.250
0.750 0.250 0.250
0.750 0.750 0.750
0.000 0.000 0.500
0.000 0.500 0.000
0.500 0.000 0.000
0.500 0.500 0.500
```

As for the size of the total moment: 0.79 μB per formula unit. The value obtained for the total energy is -0.2012 hartree per atom. As for the crystal system: cubic.

---

[11]
# Lu2Hf4Ga3N3

A geometry-optimized Lu2Hf4Ga3N3 structure (PBE-GGA, OQMD via LeMat-Bulk).

POSCAR file:
```
Lu2Hf4Ga3N3
1.0
4.909 -2.833 0.000
4.909 2.833 0.000
-3.287 0.000 13.951
Lu Hf Ga N
4 8 6 6
Direct
0.035 0.872 0.604
0.128 0.965 0.896
0.872 0.035 0.104
0.965 0.128 0.396
0.194 0.356 0.084
0.300 0.478 0.416
0.356 0.194 0.584
0.478 0.300 0.916
0.522 0.700 0.084
0.644 0.806 0.416
0.700 0.522 0.584
0.806 0.644 0.916
0.084 0.361 0.751
0.361 0.084 0.251
0.472 0.528 0.250
0.528 0.472 0.750
0.639 0.916 0.749
0.916 0.639 0.249
0.000 0.500 0.500
0.166 0.668 0.000
0.332 0.834 0.500
0.500 0.000 0.000
0.668 0.166 0.500
0.834 0.332 0.000
```

As for the size of the total moment: 0.00 μB per formula unit. The value obtained for the total energy is -0.2969 hartree per atom. As for the crystal system: monoclinic.

---

[12]
# LuHfGaNi

A geometry-optimized LuHfGaNi structure (PBE-GGA, OQMD via LeMat-Bulk).

POSCAR file:
```
LuHfGaNi
1.0
6.656 0.000 0.000
0.000 6.656 0.000
0.000 0.000 6.656
Lu Hf Ga Ni
4 4 4 4
Direct
0.000 0.000 0.000
0.000 0.500 0.500
0.500 0.000 0.500
0.500 0.500 0.000
0.250 0.250 0.250
0.250 0.750 0.750
0.750 0.250 0.750
0.750 0.750 0.250
0.000 0.000 0.500
0.000 0.500 0.000
0.500 0.000 0.000
0.500 0.500 0.500
0.250 0.250 0.750
0.250 0.750 0.250
0.750 0.250 0.250
0.750 0.750 0.750
```

As for the size of the total moment: 0.01 μB per formula unit. The energy above the lowest structure with this stoichiometry is 0.00 eV/f.u. The value obtained for the total energy is -0.2099 hartree per atom. As for the crystal system: cubic.